Record 1
A plane-wave DFT calculation with PBE was carried out for Pu2H3Se after structural relaxation.

Calculated values
E (eV per atom): -7.818

Cell: 3.8975 3.8975 13.0999 Å, 90.00 90.00 120.00°
Last column: nearest neighbours and their distance in Å.
Fractional coordinates of all 12 atoms:
1 H 0.0000 0.0000 0.0000  6 H 2.45, 6 Pu 2.61
2 H 0.0000 0.0000 0.5000  6 H 2.45, 6 Pu 2.61
3 H 0.6667 0.3333 0.9261  4 Pu 2.28-2.29, 3 H 2.45
4 H 0.3333 0.6667 0.4261  4 Pu 2.28-2.29, 3 H 2.45
5 H 0.3333 0.6667 0.0739  4 Pu 2.28-2.29, 3 H 2.45
6 H 0.6667 0.3333 0.5739  4 Pu 2.28-2.29, 3 H 2.45
7 Se 0.0000 0.0000 0.2500  6 Pu 2.98, 8 H 3.22-3.27
8 Se 0.0000 0.0000 0.7500  6 Pu 2.98, 8 H 3.22-3.27
9 Pu 0.3333 0.6667 0.6010  4 H 2.28-2.29
10 Pu 0.6667 0.3333 0.3990  4 H 2.28-2.29
11 Pu 0.6667 0.3333 0.1010  4 H 2.28-2.29
12 Pu 0.3333 0.6667 0.8990  4 H 2.28-2.29



Record 2
A plane-wave DFT calculation with PBE was carried out for Nd5PuSe6 after structural relaxation.

Calculated values
ΔE_f (raw) (meV/atom): -1799.0

Cell: 7.3198 7.2893 7.2969 Å, 60.03 80.45 70.59°
Last column: nearest neighbours and their distance in Å.
Fractional coordinates of all 12 atoms:
1 Nd 0.5000 0.1703 0.6594  6 Se 2.98-3.00
2 Nd 0.0000 0.6674 0.6652  6 Se 2.98-3.00
3 Nd 0.0000 0.3326 0.3348  6 Se 2.98-3.00
4 Nd 0.5000 0.8297 0.3406  6 Se 2.98-3.00
5 Nd 0.5000 0.5000 0.0000  6 Se 2.98-3.01
6 Se 0.7532 0.0825 0.3279  1 Pu 2.94, 5 Nd 2.98-2.99
7 Se 0.2489 0.2454 0.0000  1 Pu 2.95, 5 Nd 3.00-3.01
8 Se 0.2468 0.9175 0.6721  1 Pu 2.94, 5 Nd 2.98-2.99
9 Se 0.2468 0.5896 0.3279  1 Pu 2.94, 5 Nd 2.98-2.99
10 Se 0.7511 0.7546 0.0000  1 Pu 2.95, 5 Nd 3.00-3.01
11 Se 0.7532 0.4104 0.6721  1 Pu 2.94, 5 Nd 2.98-2.99
12 Pu 0.0000 0.0000 0.0000  6 Se 2.94-2.95



Record 3
A plane-wave DFT calculation with PBE was carried out for AsIrAuC2 after structural relaxation.

Calculated values
E_form (eV/atom): 0.62
Excess energy over the best structure of this formula in the dataset (kJ/mol of formula units): 33.2

Cell: 7.3512 3.0240 7.6074 Å, 90.00 115.33 90.00°
Last column: nearest neighbours and their distance in Å.
Fractional coordinates of all 10 atoms:
1 C 0.2715 0.0000 0.5974  1 C 1.40
2 C 0.3749 0.5000 0.3000  1 C 1.40
3 C 0.3749 0.0000 0.8000  1 C 1.40
4 C 0.2715 0.5000 0.0974  1 C 1.40
5 Au 0.0462 0.5000 0.4729  2 C 2.14
6 Au 0.0462 0.0000 0.9729  2 C 2.14
7 Ir 0.4947 0.5000 0.9785  3 C 1.97-2.19
8 Ir 0.4947 0.0000 0.4785  3 C 1.97-2.19
9 As 0.7195 0.5000 0.8053  3 Ir 2.52-2.77, 2 Au 2.66
10 As 0.7195 0.0000 0.3053  3 Ir 2.52-2.77, 2 Au 2.66



Record 4
A plane-wave DFT calculation with PBE was carried out for Re2Au after structural relaxation.

Calculated values
E_form (eV/atom): 0.46
Excess energy over the best structure of this formula in the dataset (kJ/mol of formula units): 70.8

Cell: 5.0289 5.0289 5.0289 Å, 141.83 141.83 55.09°
Last column: nearest neighbours and their distance in Å.
Fractional coordinates of all 3 atoms:
1 Re 0.3184 0.3184 0.0000  4 Re 2.63, 5 Au 2.83-2.84
2 Re 0.6816 0.6816 0.0000  4 Re 2.63, 5 Au 2.83-2.84
3 Au 0.0000 0.0000 0.0000  10 Re 2.83-2.84



Record 5
A plane-wave DFT calculation with PBE was carried out for SrLiPd after structural relaxation.

Calculated values
E_form (eV/atom): -0.39
Excess energy over the best structure of this formula in the dataset (kJ/mol of formula units): 17.3

Cell: 4.2171 4.4917 4.4917 Å, 120.00 90.00 90.00°
Last column: nearest neighbours and their distance in Å.
Fractional coordinates of all 3 atoms:
1 Pd 0.1663 0.0000 0.0000  3 Li 2.59
2 Sr 0.6668 0.3333 0.6667  6 Pd 3.34, 6 Li 3.34
3 Li 0.1669 0.6667 0.3333  3 Pd 2.59



Record 6
A plane-wave DFT calculation with PBE was carried out for CsSi2RuS after structural relaxation.

Calculated values
ΔE_f (raw) (meV/atom): 152.9

Cell: 4.6138 5.6797 4.6138 Å, 90.00 90.00 90.00°
Last column: nearest neighbours and their distance in Å.
Fractional coordinates of all 5 atoms:
1 Ru 0.0000 0.0000 0.0000  4 Si 2.31
2 S 0.0000 0.5000 0.0000  2 Ru 2.84
3 Si 0.0000 0.0000 0.5000  2 Ru 2.31
4 Si 0.5000 0.0000 0.0000  2 Ru 2.31
5 Cs 0.5000 0.5000 0.5000  4 S 3.26



Record 7
A plane-wave DFT calculation with PBE was carried out for Ti3Zn4Cu2 after structural relaxation.

Calculated values
E_form (eV/atom): -0.15

Cell: 4.3198 5.1078 7.9493 Å, 120.74 90.00 115.02°
Last column: nearest neighbours and their distance in Å.
Fractional coordinates of all 9 atoms:
1 Zn 0.9391 0.8782 0.6084  3 Cu 2.48-2.67, 1 Zn 2.54
2 Zn 0.0609 0.1218 0.3916  3 Cu 2.48-2.67, 1 Zn 2.54
3 Zn 0.7157 0.4314 0.0517  2 Cu 2.48-2.66, 2 Zn 2.52
4 Zn 0.2843 0.5686 0.9483  2 Cu 2.48-2.66, 2 Zn 2.52
5 Ti 0.3339 0.6679 0.3352  2 Ti 2.69-2.71, 8 Zn 2.80-2.87, 4 Cu 2.82-2.85
6 Ti 0.0000 0.0000 0.0000  2 Ti 2.71, 8 Zn 2.81-2.88, 4 Cu 2.84
7 Ti 0.6661 0.3321 0.6648  2 Ti 2.69-2.71, 8 Zn 2.80-2.87, 4 Cu 2.82-2.85
8 Cu 0.6112 0.2224 0.2780  5 Zn 2.48-2.67
9 Cu 0.3888 0.7776 0.7220  5 Zn 2.48-2.67



Record 8
A plane-wave DFT calculation with PBE was carried out for BaHfRh2 after structural relaxation.

Calculated values
E_form (eV/atom): -0.03
Excess energy over the best structure of this formula in the dataset (kJ/mol of formula units): 180.1

Cell: 4.9382 4.9382 4.9382 Å, 60.00 60.00 60.00°
Last column: nearest neighbours and their distance in Å.
Fractional coordinates of all 4 atoms:
1 Rh 0.2500 0.2500 0.2500  4 Ba 3.02, 4 Hf 3.02
2 Rh 0.7500 0.7500 0.7500  4 Ba 3.02, 4 Hf 3.02
3 Ba 0.0000 0.0000 0.0000  8 Rh 3.02
4 Hf 0.5000 0.5000 0.5000  8 Rh 3.02



Record 9
A plane-wave DFT calculation with PBE was carried out for CeTl3Cd2 after structural relaxation.

Calculated values
E_form (eV/atom): -0.06

Cell: 5.9286 9.0607 9.0607 Å, 136.24 90.00 90.00°
Last column: nearest neighbours and their distance in Å.
Fractional coordinates of all 12 atoms:
1 Tl 0.7500 0.4164 0.0819  2 Cd 3.18, 3 Ce 3.31-3.41, 4 Tl 3.36-3.43
2 Tl 0.2500 0.0819 0.4164  2 Cd 3.18, 3 Ce 3.31-3.41, 4 Tl 3.36-3.43
3 Tl 0.2500 0.1427 0.8573  4 Cd 3.36, 2 Ce 3.39, 6 Tl 3.43-3.62
4 Tl 0.7500 0.8573 0.1427  4 Cd 3.36, 2 Ce 3.39, 6 Tl 3.43-3.62
5 Tl 0.2500 0.5836 0.9181  2 Cd 3.18, 3 Ce 3.31-3.41, 4 Tl 3.36-3.43
6 Tl 0.7500 0.9181 0.5836  2 Cd 3.18, 3 Ce 3.31-3.41, 4 Tl 3.36-3.43
7 Cd 0.5000 0.2712 0.2712  3 Cd 2.96-3.09, 2 Tl 3.18
8 Cd 0.0000 0.2712 0.2712  3 Cd 2.96-3.09, 2 Tl 3.18
9 Cd 0.0000 0.7288 0.7288  3 Cd 2.96-3.09, 2 Tl 3.18
10 Cd 0.5000 0.7288 0.7288  3 Cd 2.96-3.09, 2 Tl 3.18
11 Ce 0.7500 0.3365 0.6635  8 Tl 3.31-3.41, 4 Cd 3.49
12 Ce 0.2500 0.6635 0.3365  8 Tl 3.31-3.41, 4 Cd 3.49



Record 10
A plane-wave DFT calculation with PBE was carried out for Ti4PtW after structural relaxation.

Calculated values
E_form (eV/atom): 0.05

Cell: 4.3625 4.3632 7.4127 Å, 72.91 72.89 60.01°
Last column: nearest neighbours and their distance in Å.
Fractional coordinates of all 6 atoms:
1 Ti 0.6266 0.6268 0.1201  1 Pt 2.65, 3 W 2.65
2 Ti 0.8764 0.8765 0.3707  1 W 2.58, 3 Pt 2.67-2.68
3 Ti 0.1236 0.1235 0.6293  1 W 2.58, 3 Pt 2.67-2.68
4 Ti 0.3734 0.3732 0.8799  1 Pt 2.65, 3 W 2.65
5 Pt 0.5000 0.5000 0.5000  8 Ti 2.65-2.68
6 W 0.0000 0.0000 0.0000  8 Ti 2.58-2.65



Record 11
A plane-wave DFT calculation with PBE was carried out for FeBiSN2 after structural relaxation.

Calculated values
ΔE_f (raw) (meV/atom): 773.8
Excess energy over the best structure of this formula in the dataset (kJ/mol of formula units): 0.0

Cell: 3.8127 3.8127 4.7514 Å, 90.00 90.00 90.00°
Last column: nearest neighbours and their distance in Å.
Fractional coordinates of all 5 atoms:
1 N 0.5000 0.0000 0.0000  2 Fe 1.91
2 N 0.0000 0.5000 0.0000  2 Fe 1.91
3 Fe 0.0000 0.0000 0.0000  4 N 1.91
4 Bi 0.5000 0.5000 0.5000  4 S 2.70
5 S 0.0000 0.0000 0.5000  2 Fe 2.38



Record 12
A plane-wave DFT calculation with PBE was carried out for Sc8C3S4O after structural relaxation.

Calculated values
ΔE_f (raw) (meV/atom): -1623.7

Cell: 6.8802 7.0851 6.8806 Å, 119.05 120.00 90.00°
Last column: nearest neighbours and their distance in Å.
Fractional coordinates of all 16 atoms:
1 S 0.0000 0.0000 0.5000  6 Sc 2.61-2.64
2 S 0.5000 0.0000 0.0000  6 Sc 2.59
3 S 0.0000 0.0000 0.0000  6 Sc 2.61-2.64
4 S 0.5000 0.0000 0.5000  6 Sc 2.61-2.64
5 Sc 0.2402 0.7087 0.4803  2 C 2.31, 1 O 2.37, 1 S 2.59
6 Sc 0.7598 0.2913 0.5197  2 C 2.31, 1 O 2.37, 1 S 2.59
7 Sc 0.2628 0.2885 0.5257  3 C 2.34, 3 S 2.61
8 Sc 0.7599 0.2914 0.0315  2 C 2.31, 1 O 2.37, 1 S 2.59
9 Sc 0.2716 0.2914 0.0315  2 C 2.31, 1 O 2.37, 1 S 2.59
10 Sc 0.7284 0.7086 0.9685  2 C 2.31, 1 O 2.37, 1 S 2.59
11 Sc 0.2401 0.7086 0.9685  2 C 2.31, 1 O 2.37, 1 S 2.59
12 Sc 0.7372 0.7115 0.4743  3 C 2.34, 3 S 2.61
13 C 0.5000 0.5000 0.5000  6 Sc 2.31-2.34
14 C 0.5000 0.5000 0.0000  6 Sc 2.31-2.34
15 C 0.0000 0.5000 0.5000  6 Sc 2.31-2.34
16 O 0.0000 0.5000 0.0000  6 Sc 2.37